1.
# MoWNO2

MoWNO2 after structural relaxation (GGA+U, Alexandria).

CIF file:
```
data_MoWNO2
_symmetry_space_group_name_H-M 'P 4/m m m'
_symmetry_Int_Tables_number 123
_symmetry_space_group_name_Hall '-P 4 2'
_cell_length_a 3.926
_cell_length_b 3.926
_cell_length_c 4.155
_cell_angle_alpha 90.00
_cell_angle_beta 90.00
_cell_angle_gamma 90.00
loop_
_atom_site_label
_atom_site_type_symbol
_atom_site_fract_x
_atom_site_fract_y
_atom_site_fract_z
Mo1 Mo 0.000 0.000 0.000
W1 W 0.500 0.500 0.500
N1 N 0.000 0.000 0.500
O1 O 0.000 0.500 0.000
```

2.
# MoWNO2

MoWNO2 after structural relaxation (GGA+U, Alexandria).

CIF file:
```
data_MoWNO2
_symmetry_space_group_name_H-M 'P 4/m m m'
_symmetry_Int_Tables_number 123
_symmetry_space_group_name_Hall '-P 4 2'
_cell_length_a 3.930
_cell_length_b 3.930
_cell_length_c 4.152
_cell_angle_alpha 90.00
_cell_angle_beta 90.00
_cell_angle_gamma 90.00
loop_
_atom_site_label
_atom_site_type_symbol
_atom_site_fract_x
_atom_site_fract_y
_atom_site_fract_z
Mo1 Mo 0.000 0.000 0.000
W1 W 0.500 0.500 0.500
N1 N 0.500 0.500 0.000
O1 O 0.000 0.500 0.500
```

3.
# YMoN2O

YMoN2O after structural relaxation (GGA+U, Alexandria).

CIF file:
```
data_YMoN2O
_symmetry_space_group_name_H-M 'P 4/m m m'
_symmetry_Int_Tables_number 123
_symmetry_space_group_name_Hall '-P 4 2'
_cell_length_a 4.459
_cell_length_b 4.459
_cell_length_c 4.264
_cell_angle_alpha 90.00
_cell_angle_beta 90.00
_cell_angle_gamma 90.00
loop_
_atom_site_label
_atom_site_type_symbol
_atom_site_fract_x
_atom_site_fract_y
_atom_site_fract_z
Y1 Y 0.000 0.000 0.000
Mo1 Mo 0.500 0.500 0.500
N1 N 0.000 0.500 0.000
O1 O 0.000 0.000 0.500
```

4.
# YMoN2O

YMoN2O after structural relaxation (GGA+U, Alexandria).

CIF file:
```
data_YMoN2O
_symmetry_space_group_name_H-M 'P 4/m m m'
_symmetry_Int_Tables_number 123
_symmetry_space_group_name_Hall '-P 4 2'
_cell_length_a 4.002
_cell_length_b 4.002
_cell_length_c 3.908
_cell_angle_alpha 90.00
_cell_angle_beta 90.00
_cell_angle_gamma 90.00
loop_
_atom_site_label
_atom_site_type_symbol
_atom_site_fract_x
_atom_site_fract_y
_atom_site_fract_z
Y1 Y 0.000 0.000 0.000
Mo1 Mo 0.500 0.500 0.500
N1 N 0.000 0.500 0.500
O1 O 0.500 0.500 0.000
```

5.
# Zn2Mo2NO10

Zn2Mo2NO10 after structural relaxation (GGA+U, Alexandria).

CIF file:
```
data_Zn2Mo2NO10
_symmetry_space_group_name_H-M 'C 1 2/m 1'
_symmetry_Int_Tables_number 12
_symmetry_space_group_name_Hall '-C 2y'
_cell_length_a 11.134
_cell_length_b 5.749
_cell_length_c 6.957
_cell_angle_alpha 90.00
_cell_angle_beta 115.23
_cell_angle_gamma 90.00
loop_
_atom_site_label
_atom_site_type_symbol
_atom_site_fract_x
_atom_site_fract_y
_atom_site_fract_z
Zn1 Zn 0.250 0.250 0.000
Mo1 Mo 0.056 0.000 0.277
N1 N 0.000 0.500 0.500
O1 O 0.036 0.267 0.712
O2 O 0.129 0.000 0.080
O3 O 0.180 0.500 0.102
O4 O 0.195 0.000 0.515
```

6.
# ZrMoNO2

ZrMoNO2 after structural relaxation (GGA+U, Alexandria).

CIF file:
```
data_ZrMoNO2
_symmetry_space_group_name_H-M 'P 4/m m m'
_symmetry_Int_Tables_number 123
_symmetry_space_group_name_Hall '-P 4 2'
_cell_length_a 3.970
_cell_length_b 3.970
_cell_length_c 4.030
_cell_angle_alpha 90.00
_cell_angle_beta 90.00
_cell_angle_gamma 90.00
loop_
_atom_site_label
_atom_site_type_symbol
_atom_site_fract_x
_atom_site_fract_y
_atom_site_fract_z
Zr1 Zr 0.000 0.000 0.000
Mo1 Mo 0.500 0.500 0.500
N1 N 0.500 0.500 0.000
O1 O 0.000 0.500 0.500
```

no.,DFT total energy (eV/atom),mass density (kg/m3)
1,-6.601,8446
2,-7.040,8436
3,-6.539,4482
4,-7.953,6071
5,-5.564,4095
6,-7.613,6094